# NaV3C

An optimized crystal structure of NaV3C (PBE, Alexandria).

abc: 4.305 4.305 4.305
angles: 90.00 90.00 90.00
Fractional positions:
1 Na 0.000 0.000 0.000
2 C 0.500 0.500 0.500
3 V 0.000 0.500 0.000
4 V 0.000 0.000 0.500
5 V 0.500 0.000 0.000

- E_form (eV per atom) = 3.291
- E (eV per atom) = -4.289
- crystal system = cubic
- distance to the lowest polymorph of the same formula (meV per atom) = 2871.4

***

# NaV2C

An optimized crystal structure of NaV2C (PBE, Alexandria).

abc: 6.274 6.274 6.279
angles: 60.03 60.03 90.00
Fractional positions:
1 C 0.500 0.500 0.000
2 C 0.250 0.750 0.500
3 V 0.375 0.625 0.250
4 V 0.375 0.625 0.750
5 V 0.375 0.125 0.250
6 V 0.875 0.625 0.750
7 Na 0.000 0.000 0.000
8 Na 0.750 0.250 0.500

- E_form (eV per atom) = 0.783
- E (eV per atom) = -6.412
- crystal system = tetragonal

***

# Na3VC

An optimized crystal structure of Na3VC (PBE, Alexandria).

abc: 4.925 4.925 4.925
angles: 90.00 90.00 90.00
Fractional positions:
1 C 0.000 0.000 0.000
2 Na 0.500 0.000 0.000
3 Na 0.000 0.500 0.000
4 Na 0.000 0.000 0.500
5 V 0.500 0.500 0.500

- E_form (eV per atom) = 1.425
- E (eV per atom) = -3.035
- crystal system = cubic
- distance to the lowest polymorph of the same formula (meV per atom) = 0.0

***

# NaVC3

An optimized crystal structure of NaVC3 (PBE, Alexandria).

abc: 3.945 3.945 3.945
angles: 90.00 90.00 90.00
Fractional positions:
1 V 0.000 0.000 0.000
2 C 0.500 0.000 0.000
3 C 0.000 0.500 0.000
4 C 0.000 0.000 0.500
5 Na 0.500 0.500 0.500

- E_form (eV per atom) = 1.395
- E (eV per atom) = -6.227
- crystal system = cubic

***

# Na3VC

An optimized crystal structure of Na3VC (PBE, Alexandria).

abc: 5.863 5.863 5.863
angles: 90.00 90.00 90.00
Fractional positions:
1 Na 0.000 0.000 0.500
2 Na 0.500 0.000 0.000
3 Na 0.000 0.500 0.000
4 C 0.500 0.500 0.500
5 V 0.000 0.000 0.000

- E_form (eV per atom) = 2.182
- E (eV per atom) = -2.278
- crystal system = cubic
- distance to the lowest polymorph of the same formula (meV per atom) = 757.2

***

# NaV3C

An optimized crystal structure of NaV3C (PBE, Alexandria).

abc: 4.091 4.091 4.091
angles: 90.00 90.00 90.00
Fractional positions:
1 C 0.000 0.000 0.000
2 Na 0.500 0.500 0.500
3 V 0.000 0.500 0.000
4 V 0.500 0.000 0.000
5 V 0.000 0.000 0.500

- E_form (eV per atom) = 0.419
- E (eV per atom) = -7.161
- crystal system = cubic
- distance to the lowest polymorph of the same formula (meV per atom) = 0.0